Entry 1:
A plane-wave DFT calculation with GGA-PBE was carried out for a geometry-optimized MgCo4Os structure.

- Crystal system: cubic

Geometry as POSCAR:
```
MgCo4Os
1.0
0.000 3.354 3.354
3.354 0.000 3.354
3.354 3.354 0.000
Mg Co Os
1 4 1
Cartesian
0.000 0.000 0.000
2.515 2.515 2.515
4.193 4.193 2.515
4.193 2.515 4.193
2.515 4.193 4.193
5.031 5.031 5.031
```

***

Entry 2:
A plane-wave DFT calculation with GGA-PBE was carried out for a geometry-optimized MgCo2Os2 structure.

- Crystal system: tetragonal

Geometry as POSCAR:
```
MgCo2Os2
1.0
7.294 0.000 0.000
0.000 7.294 0.000
0.000 0.000 2.641
Mg Co Os
2 4 4
Cartesian
0.000 0.000 0.000
3.647 3.647 0.000
1.238 2.409 1.320
2.409 6.056 1.320
4.884 1.238 1.320
6.056 4.884 1.320
0.913 4.560 0.000
2.734 0.913 0.000
4.560 6.381 0.000
6.381 2.734 0.000
```

***

Entry 3:
A plane-wave DFT calculation with GGA-PBE was carried out for a geometry-optimized MgCo2Os structure.

- Crystal system: monoclinic

Geometry as POSCAR:
```
MgCo2Os
1.0
9.166 0.000 0.000
0.000 2.668 0.000
-1.438 0.000 4.214
Mg Co Os
2 4 2
Cartesian
0.000 0.000 0.000
4.583 1.334 0.000
-0.512 1.334 2.121
0.992 0.000 3.589
4.071 0.000 2.121
5.575 1.334 3.589
2.031 1.334 1.569
6.614 0.000 1.569
```

***

Entry 4:
A plane-wave DFT calculation with GGA-PBE was carried out for a geometry-optimized MgCo2Os structure.

- Crystal system: tetragonal

Geometry as POSCAR:
```
MgCo2Os
1.0
6.783 0.000 0.000
0.000 6.783 0.000
0.000 0.000 5.221
Mg Co Os
4 8 4
Cartesian
0.000 0.000 0.000
0.000 3.391 1.305
3.391 0.000 3.916
3.391 3.391 2.611
1.448 1.696 3.263
1.696 4.839 4.569
1.696 5.335 1.958
1.943 1.696 0.653
4.839 5.087 0.653
5.087 1.448 1.958
5.087 1.943 4.569
5.335 5.087 3.263
0.000 0.000 2.611
0.000 3.391 3.916
3.391 0.000 1.305
3.391 3.391 0.000
```

***

Entry 5:
A plane-wave DFT calculation with GGA-PBE was carried out for a geometry-optimized MgCoOs2 structure.

- Crystal system: monoclinic

Geometry as POSCAR:
```
MgCoOs2
1.0
5.288 0.000 0.000
0.000 8.804 0.000
-1.119 0.000 2.424
Mg Co Os
2 2 4
Cartesian
0.000 0.000 0.000
2.644 4.402 0.000
0.000 4.402 0.000
2.644 0.000 0.000
0.763 2.201 1.212
0.763 6.603 1.212
3.407 2.201 1.212
3.407 6.603 1.212
```

***

Entry 6:
A plane-wave DFT calculation with GGA-PBE was carried out for a geometry-optimized MgCo2Os structure.

- Crystal system: orthorhombic

Geometry as POSCAR:
```
MgCo2Os
1.0
2.869 0.000 0.000
0.000 4.415 0.000
0.000 0.000 8.555
Mg Co Os
2 4 2
Cartesian
0.000 0.000 0.000
1.434 2.208 0.000
0.000 2.208 2.197
0.000 2.208 6.358
1.434 0.000 2.197
1.434 0.000 6.358
0.000 0.000 4.278
1.434 2.208 4.278
```

***

Entry 7:
A plane-wave DFT calculation with GGA-PBE was carried out for a geometry-optimized MgCo2Os structure.

- Crystal system: orthorhombic

Geometry as POSCAR:
```
MgCo2Os
1.0
2.936 0.000 0.000
0.000 4.332 0.000
0.000 0.000 8.451
Mg Co Os
2 4 2
Cartesian
0.000 0.000 0.000
1.468 2.166 4.226
0.000 2.166 2.022
0.000 2.166 6.429
1.468 0.000 2.203
1.468 0.000 6.248
0.000 0.000 4.226
1.468 2.166 0.000
```

***

Entry 8:
A plane-wave DFT calculation with GGA-PBE was carried out for a geometry-optimized MgCoOs2 structure.

- Crystal system: orthorhombic

Geometry as POSCAR:
```
MgCoOs2
1.0
2.857 0.000 0.000
0.000 4.527 0.000
0.000 0.000 8.834
Mg Co Os
2 2 4
Cartesian
0.000 0.000 0.000
1.428 2.263 0.000
0.000 0.000 4.417
1.428 2.263 4.417
0.000 2.263 2.318
0.000 2.263 6.516
1.428 0.000 2.318
1.428 0.000 6.516
```

***

DOS at the Fermi energy (states/eV per atom)
1.00, 0.87, 1.04, 1.16, 1.08, 1.31, 1.05, 1.28
E (eV per atom)
-6.742, -7.373, -6.609, -6.088, -7.444, -6.390, -6.441, -7.393